A plane-wave DFT calculation with PBE with a Hubbard U was carried out for an optimized crystal structure of CsWC2O8.

Cell and atoms, written as CIF:
```
data_CsWC2O8
_space_group_name_H-M_alt 'C 1 2/m 1'
_space_group_IT_number 12
_cell_length_a 8.112
_cell_length_b 5.031
_cell_length_c 8.769
_cell_angle_alpha 90.00
_cell_angle_beta 94.07
_cell_angle_gamma 90.00
loop_
_space_group_symop_operation_xyz
'x,y,z'
'-x,-y,-z'
'-x,y,-z'
'x,-y,z'
'x+1/2,y+1/2,z'
'-x+1/2,-y+1/2,-z'
'-x+1/2,y+1/2,-z'
'x+1/2,-y+1/2,z'
loop_
_atom_site_label
_atom_site_type_symbol
_atom_site_fract_x
_atom_site_fract_y
_atom_site_fract_z
Cs1 Cs 0.000 0.000 0.000
W1 W 0.000 0.000 0.500
C1 C 0.136 0.500 0.319
O1 O 0.038 0.275 0.347
O2 O 0.178 0.500 0.178
O3 O 0.226 0.000 0.569
```

E in eV per atom: -6.83
Total moment in Bohr magnetons per cell: 2.07